No. 1
A plane-wave DFT calculation with PBE was carried out for an optimized crystal structure of ScInCuNi.

abc: 4.4808 4.4808 4.4808
angles: 60.00 60.00 60.00
With the nearest neighbours (Å) after each atom.
Fractional coordinates of all 4 atoms:
In: 0.2500 0.2500 0.2500  4 Ni 2.74, 4 Cu 2.74
Cu: 0.5000 0.5000 0.5000  4 Sc 2.74, 4 In 2.74
Sc: 0.7500 0.7500 0.7500  4 Cu 2.74, 4 Ni 2.74
Ni: 0.0000 0.0000 0.0000  4 In 2.74, 4 Sc 2.74

Its space group is No. 216. The offset from the most stable computed form comes out at 0.000 eV per atom.

No. 2
A plane-wave DFT calculation with PBE was carried out for an optimized crystal structure of Er3TmNi4.

abc: 5.3759 4.1385 6.9851
angles: 90.00 90.02 90.00
With the nearest neighbours (Å) after each atom.
Fractional coordinates of all 8 atoms:
Tm: 0.6306 0.5000 0.3201  7 Ni 2.84-2.89
Er: 0.3696 0.0000 0.6796  7 Ni 2.84-2.89
Er: 0.1306 0.0000 0.1799  7 Ni 2.84-2.89
Er: 0.8694 0.5000 0.8202  7 Ni 2.84-2.89
Ni: 0.1251 0.5000 0.4621  2 Ni 2.52
Ni: 0.6251 0.0000 0.0381  2 Ni 2.52
Ni: 0.8747 0.0000 0.5376  2 Ni 2.52
Ni: 0.3750 0.5000 0.9624  2 Ni 2.52

Its space group is No. 6. As for the formation energy from the elements: -497.0 meV per atom.

In eV per atom, the raw total energy values for the records above are, in order, -4.962, -5.552.
In μB/f.u., the M_tot values for the records above are, in order, 0.0, 0.0.